4
Lattice="-2.656 -1.990 -1.839 3.271 -0.163 -4.548 2.306 -4.769 1.829" Properties=species:S:1:pos:R:3 comment="PBE TbSm2Cd, optimized geometry" crystal_system=tetragonal pbc="T T T"
Tb 1.461 -3.461 -2.279
Sm 1.153 -2.385 0.915
Sm 1.636 -0.081 -2.274
Cd -1.328 -0.995 -0.920

---

14
Lattice="-0.794 -3.785 -7.138 -1.293 -5.285 6.024 -5.414 6.030 0.482" Properties=species:S:1:pos:R:3 comment="PBE Tb2Sm2Cd3, optimized geometry" crystal_system=cubic pbc="T T T"
Tb -4.634 5.162 0.413
Tb -4.211 -3.402 1.829
Tb -4.433 -0.065 3.162
Tb -0.929 -3.990 0.471
Sm -3.548 -0.693 -1.258
Sm -1.860 2.071 0.166
Sm -1.571 -2.368 -3.668
Sm -1.316 -5.835 -3.008
Cd -3.493 -3.874 -1.350
Cd -1.948 -4.824 3.490
Cd -6.149 -1.073 0.538
Cd -4.456 -0.845 -4.496
Cd -4.501 2.522 -1.552
Cd -1.956 -1.027 1.478

---

6
Lattice="-1.888 -0.088 -3.271 2.905 -1.782 -1.629 -4.513 -9.985 2.873" Properties=species:S:1:pos:R:3 comment="PBE Tb2SmCd3, optimized geometry" crystal_system=tetragonal pbc="T T T"
Tb -3.260 -9.274 -0.050
Tb -0.235 -2.581 -1.976
Sm -1.748 -5.927 -1.013
Cd 0.000 0.000 0.000
Cd -3.035 -6.715 1.932
Cd -1.478 -3.271 0.941

---

11
Lattice="-1.084 -5.470 1.231 6.640 -0.813 -5.841 1.565 3.327 8.084" Properties=species:S:1:pos:R:3 comment="PBE TbSm8Cd2, optimized geometry" crystal_system=monoclinic pbc="T T T"
Tb -0.542 -2.735 0.616
Sm 6.120 -3.317 1.311
Sm 4.982 -2.389 4.432
Sm 4.587 -0.123 1.708
Sm 4.984 -2.639 -2.169
Sm 2.137 -0.317 5.643
Sm 2.534 -2.833 1.766
Sm 2.139 -0.567 -0.958
Sm 1.001 0.361 2.163
Cd 3.116 2.062 3.829
Cd 5.089 0.452 -1.586

---

18
Lattice="-2.504 6.310 -0.075 -4.260 -1.772 -6.777 -5.950 -5.950 5.296" Properties=species:S:1:pos:R:3 comment="PBE Tb3Sm2Cd4, optimized geometry" crystal_system=orthorhombic pbc="T T T"
Tb 0.000 0.000 0.000
Tb -3.382 2.269 -3.426
Tb -7.481 -1.172 -2.430
Tb -6.486 2.914 0.836
Tb -5.234 -0.241 0.873
Tb -6.228 -4.327 -2.393
Sm -3.881 -1.577 -3.096
Sm -8.833 0.165 1.539
Sm -6.300 -2.457 3.614
Sm -6.414 1.045 -5.171
Cd -9.936 -2.125 -0.638
Cd -4.031 3.867 -0.957
Cd -2.778 0.712 -0.919
Cd -8.684 -5.280 -0.600
Cd -6.513 -2.644 -4.977
Cd -6.202 1.232 3.420
Cd -6.946 -2.753 0.283
Cd -5.769 1.341 -1.840

---

14
Lattice="7.771 0.000 -3.656 -3.412 7.494 -2.440 -0.948 0.000 8.536" Properties=species:S:1:pos:R:3 comment="PBE Tb5Sm8Cd, optimized geometry" crystal_system=tetragonal pbc="T T T"
Tb 6.317 1.457 -2.996
Tb 4.162 6.111 -4.446
Tb 3.566 6.037 0.850
Tb 3.412 0.000 2.440
Tb 1.497 1.383 -0.720
Sm -2.257 3.883 6.802
Sm -0.572 0.649 4.365
Sm 4.369 2.564 0.003
Sm 2.439 2.539 4.897
Sm 2.011 4.956 -1.714
Sm -0.414 6.846 4.144
Sm 1.348 3.611 1.761
Sm -1.996 4.930 1.694
Cd -0.474 3.747 4.268

---

7
Lattice="3.538 0.000 0.000 0.000 8.589 0.124 -1.769 -3.932 7.365" Properties=species:S:1:pos:R:3 comment="PBE Tb2Sm4Cd, optimized geometry" crystal_system=monoclinic pbc="T T T"
Tb 1.769 5.168 4.268
Tb 0.000 -0.512 3.221
Sm 1.769 -0.737 6.196
Sm 0.000 5.393 1.294
Sm 1.769 2.327 1.972
Sm 0.000 2.329 5.517
Cd 0.000 0.000 0.000

---

10
Lattice="5.331 0.000 0.000 0.000 9.008 -0.304 0.000 -4.247 7.950" Properties=species:S:1:pos:R:3 comment="PBE Tb7SmCd2, optimized geometry" crystal_system=orthorhombic pbc="T T T"
Tb 0.000 5.990 1.575
Tb 0.000 -1.229 6.071
Tb 2.666 -0.701 2.367
Tb 2.666 5.462 5.279
Tb 2.666 2.433 0.416
Tb 2.666 2.328 7.230
Tb 2.666 2.381 3.823
Sm 0.000 0.000 0.000
Cd 2.666 4.985 2.201
Cd 2.666 -0.224 5.445

---

11
Lattice="5.358 0.000 0.000 0.000 7.125 0.000 -2.679 -3.563 8.582" Properties=species:S:1:pos:R:3 comment="PBE Tb4Sm3Cd4, optimized geometry" crystal_system=orthorhombic pbc="T T T"
Tb 0.000 -1.674 5.469
Tb 2.679 1.888 3.113
Tb 2.679 5.237 3.113
Tb 0.000 1.674 5.469
Sm 0.000 0.000 1.788
Sm 2.679 3.563 6.794
Sm 0.000 3.563 0.000
Cd 0.000 3.563 3.065
Cd 2.679 0.000 5.517
Cd 2.679 5.667 0.000
Cd 2.679 1.458 0.000

---

6
Lattice="5.367 0.000 0.000 -2.684 4.648 0.000 0.000 0.000 6.576" Properties=species:S:1:pos:R:3 comment="PBE TbSm2Cd3, optimized geometry" crystal_system=trigonal pbc="T T T"
Tb 0.000 0.000 0.000
Sm 2.684 1.549 2.171
Sm 0.000 3.099 4.405
Cd 0.000 0.000 3.288
Cd 2.684 1.549 5.485
Cd 0.000 3.099 1.091

---

| no. | formation energy (meV per atom) |
| --- | --- |
| 1 | -77 |
| 2 | -107 |
| 3 | -318 |
| 4 | 20 |
| 5 | -156 |
| 6 | 158 |
| 7 | 32 |
| 8 | 411 |
| 9 | -102 |
| 10 | -317 |